1.
Compound: Li6CaHg6
Source: the Alexandria database
Functional: PBE
Structure: optimized geometry

Values from the calculation:
Uncorrected energy (eV per cell): -19.49
Total magnetization (μB per formula unit): 0.0

```
Li6CaHg6
1.0
-2.783 4.730 4.977
2.783 -4.730 4.977
2.783 4.730 -4.977
Li Ca Hg
6 1 6
direct
0.000 0.000 0.500 Li
0.000 0.500 0.000 Li
0.242 0.000 0.242 Li
0.500 0.000 0.000 Li
0.500 0.500 0.500 Li
0.758 0.000 0.758 Li
0.000 0.500 0.500 Ca
0.176 0.176 0.000 Hg
0.334 0.500 0.834 Hg
0.340 0.840 0.500 Hg
0.660 0.160 0.500 Hg
0.666 0.500 0.166 Hg
0.824 0.824 0.000 Hg
```

2.
Compound: Pa2InAu
Source: the Alexandria database
Functional: PBE
Structure: optimized geometry

Values from the calculation:
Total magnetization (μB per formula unit): 0.6
Energy above the most stable polymorph in this dataset (eV/f.u.): 0.02

```
Pa2InAu
1.0
4.379 0.000 0.000
0.000 4.379 0.000
0.000 0.000 4.815
Pa In Au
2 1 1
direct
0.000 0.500 0.000 Pa
0.500 0.000 0.000 Pa
0.000 0.000 0.500 In
0.500 0.500 0.500 Au
```

3.
Compound: Sr3Tb2NpAs6
Source: the Alexandria database
Functional: PBE
Structure: optimized geometry

Values from the calculation:
Uncorrected energy (eV per cell): -68.94
Total magnetization (μB per formula unit): 1.0

```
Sr3Tb2NpAs6
1.0
3.674 -6.361 0.000
3.674 6.361 0.000
-2.448 0.000 7.144
Sr Tb Np As
3 2 1 6
direct
0.000 0.000 0.000 Sr
0.330 0.670 0.000 Sr
0.670 0.330 0.000 Sr
0.166 0.834 0.500 Tb
0.834 0.166 0.500 Tb
0.500 0.500 0.500 Np
0.109 0.428 0.282 As
0.255 0.255 0.718 As
0.428 0.109 0.282 As
0.572 0.891 0.718 As
0.745 0.745 0.282 As
0.891 0.572 0.718 As
```

- What is the formula in the second record?
  Pa2InAu